1.
# NdYAl2 (PBE-GGA, relaxed)
# DFT formation energy = -137.9 meV per atom
# Electronic total energy = -57.81 eV for the cell shown
data_NdYAl2
_chemical_formula_sum 'Nd3 Y3 Al6'
_cell_length_a 3.6682
_cell_length_b 3.6682
_cell_length_c 27.8150
_cell_angle_alpha 90.00
_cell_angle_beta 90.00
_cell_angle_gamma 120.00
_symmetry_space_group_name_H-M 'R -3 m'
_symmetry_Int_Tables_number 166
_symmetry_space_group_name_Hall '-R 3 2"'
loop_
_atom_site_label
_atom_site_type_symbol
_atom_site_fract_x
_atom_site_fract_y
_atom_site_fract_z
Nd1 Nd 0.0000 0.0000 0.0000
Y1 Y 0.0000 0.0000 0.5000
Al1 Al 0.0000 0.0000 0.2479



2.
# MnHPd3 (PBE-GGA, relaxed)
# Excess energy over the best structure of this formula in the dataset = 311.3 meV per atom
# Electronic total energy = -55.37 eV for the cell shown
data_MnHPd3
_chemical_formula_sum 'Mn2 H2 Pd6'
_cell_length_a 4.3559
_cell_length_b 5.0058
_cell_length_c 6.6056
_cell_angle_alpha 108.15
_cell_angle_beta 90.08
_cell_angle_gamma 115.57
_symmetry_space_group_name_H-M 'P 1'
_symmetry_Int_Tables_number 1
loop_
_symmetry_equiv_pos_as_xyz
'x,y,z'
loop_
_atom_site_label
_atom_site_type_symbol
_atom_site_fract_x
_atom_site_fract_y
_atom_site_fract_z
Mn1 Mn 0.0000 0.0000 0.0000
Mn2 Mn 0.1929 0.3859 0.9464
H1 H 0.5255 0.8899 0.4995
H2 H 0.8304 0.4984 0.4480
Pd1 Pd 0.2171 0.4377 0.3891
Pd2 Pd 0.4298 0.8604 0.8052
Pd3 Pd 0.4892 0.9782 0.2462
Pd4 Pd 0.7042 0.4083 0.6998
Pd5 Pd 0.7620 0.5260 0.1409
Pd6 Pd 0.9728 0.9493 0.5569



3.
# BeCd2S (PBE-GGA, relaxed)
# Energy relative to the elements, uncorrected = 13.38 kcal/mol of atoms
# Excess energy over the best structure of this formula in the dataset = 312.2 meV per atom
# Electronic total energy = -29.45 eV for the cell shown
data_BeCd2S
_chemical_formula_sum 'Be4 Cd8 S4'
_cell_length_a 6.7794
_cell_length_b 6.7794
_cell_length_c 6.7794
_cell_angle_alpha 90.00
_cell_angle_beta 90.00
_cell_angle_gamma 90.00
_symmetry_space_group_name_H-M 'F m -3 m'
_symmetry_Int_Tables_number 225
_symmetry_space_group_name_Hall '-F 4 2 3'
loop_
_atom_site_label
_atom_site_type_symbol
_atom_site_fract_x
_atom_site_fract_y
_atom_site_fract_z
Be1 Be 0.0000 0.0000 0.0000
Cd1 Cd 0.2500 0.2500 0.2500
S1 S 0.0000 0.0000 0.5000



4.
# MnCo2Os (PBE-GGA, relaxed)
# DFT formation energy = 59.6 meV per atom
# Excess energy over the best structure of this formula in the dataset = 0.0 meV per atom
# Electronic total energy = -34.37 eV for the cell shown
data_MnCo2Os
_chemical_formula_sum 'Mn1 Co2 Os1'
_cell_length_a 2.5954
_cell_length_b 4.0342
_cell_length_c 4.4540
_cell_angle_alpha 90.00
_cell_angle_beta 90.00
_cell_angle_gamma 90.00
_symmetry_space_group_name_H-M 'P m m 2'
_symmetry_Int_Tables_number 25
loop_
_symmetry_equiv_pos_as_xyz
'x,y,z'
'-x,-y,z'
'-x,y,z'
'x,-y,z'
loop_
_atom_site_label
_atom_site_type_symbol
_atom_site_fract_x
_atom_site_fract_y
_atom_site_fract_z
Mn1 Mn 0.0000 0.0000 0.0000
Co1 Co 0.0000 0.5000 0.3245
Co2 Co 0.5000 0.0000 0.4699
Os1 Os 0.5000 0.5000 0.8149



5.
# CoNiI2N (PBE-GGA, relaxed)
# Energy relative to the elements, uncorrected = 16.93 kcal/mol of atoms
# Excess energy over the best structure of this formula in the dataset = 0.0 meV per atom
# Electronic total energy = -20.64 eV for the cell shown
data_CoNiI2N
_chemical_formula_sum 'Co1 Ni1 I2 N1'
_cell_length_a 5.3398
_cell_length_b 5.3398
_cell_length_c 3.4384
_cell_angle_alpha 90.00
_cell_angle_beta 90.00
_cell_angle_gamma 90.00
_symmetry_space_group_name_H-M 'P 4/m m m'
_symmetry_Int_Tables_number 123
_symmetry_space_group_name_Hall '-P 4 2'
loop_
_atom_site_label
_atom_site_type_symbol
_atom_site_fract_x
_atom_site_fract_y
_atom_site_fract_z
Co1 Co 0.0000 0.0000 0.0000
Ni1 Ni 0.5000 0.5000 0.5000
I1 I 0.0000 0.5000 0.0000
N1 N 0.0000 0.0000 0.5000



6.
# TbHo2Sc8 (PBE-GGA, relaxed)
# DFT formation energy = 134.5 meV per atom
# Electronic total energy = -125.92 eV for the cell shown
data_TbHo2Sc8
_chemical_formula_sum 'Tb2 Ho4 Sc16'
_cell_length_a 5.4817
_cell_length_b 6.7783
_cell_length_c 16.0694
_cell_angle_alpha 90.00
_cell_angle_beta 90.00
_cell_angle_gamma 90.00
_symmetry_space_group_name_H-M 'I m m m'
_symmetry_Int_Tables_number 71
_symmetry_space_group_name_Hall '-I 2 2'
loop_
_atom_site_label
_atom_site_type_symbol
_atom_site_fract_x
_atom_site_fract_y
_atom_site_fract_z
Tb1 Tb 0.0000 0.0000 0.0000
Ho1 Ho 0.0000 0.5000 0.1903
Sc1 Sc 0.0000 0.0000 0.2023
Sc2 Sc 0.0000 0.2740 0.3712
Sc3 Sc 0.2424 0.5000 0.0000



7.
# RbLiBr2 (PBE-GGA, relaxed)
# Energy relative to the elements, uncorrected = -37.22 kcal/mol of atoms
# Electronic total energy = -50.73 eV for the cell shown
data_RbLiBr2
_chemical_formula_sum 'Rb4 Li4 Br8'
_cell_length_a 7.7443
_cell_length_b 7.7443
_cell_length_c 8.9498
_cell_angle_alpha 90.00
_cell_angle_beta 90.00
_cell_angle_gamma 90.00
_symmetry_space_group_name_H-M 'I -4 2 d'
_symmetry_Int_Tables_number 122
_symmetry_space_group_name_Hall 'I -4 2bw'
loop_
_atom_site_label
_atom_site_type_symbol
_atom_site_fract_x
_atom_site_fract_y
_atom_site_fract_z
Rb1 Rb 0.0000 0.0000 0.0000
Li1 Li 0.0000 0.0000 0.5000
Br1 Br 0.1614 0.7500 0.6250



8.
# Sm3TmCd2 (PBE-GGA, relaxed)
# DFT formation energy = -186.9 meV per atom
# Electronic total energy = -21.58 eV for the cell shown
data_Sm3TmCd2
_chemical_formula_sum 'Sm3 Tm1 Cd2'
_cell_length_a 3.7290
_cell_length_b 3.7290
_cell_length_c 12.6378
_cell_angle_alpha 90.00
_cell_angle_beta 90.00
_cell_angle_gamma 90.00
_symmetry_space_group_name_H-M 'P 4/m m m'
_symmetry_Int_Tables_number 123
_symmetry_space_group_name_Hall '-P 4 2'
loop_
_atom_site_label
_atom_site_type_symbol
_atom_site_fract_x
_atom_site_fract_y
_atom_site_fract_z
Sm1 Sm 0.0000 0.0000 0.0000
Sm2 Sm 0.0000 0.0000 0.3114
Tm1 Tm 0.5000 0.5000 0.5000
Cd1 Cd 0.5000 0.5000 0.1566